1.
DFT (PBE) results for an optimized crystal structure of Ce2TlC.

abc: 3.5605 3.5605 25.7304
angles: 90.00 90.00 120.00
Last column: nearest neighbours and their distance in Å.
Space group R3m (No. 160, hexagonal axes)
One atom of each set of equivalent atoms:
Ce: 0.0000 0.0000 0.0000  3 C 2.51
Ce: 0.0000 0.0000 0.2221  3 C 2.50
Tl: 0.0000 0.0000 0.4450  6 Ce 3.51-3.53, 6 Tl 3.56
C: 0.0000 0.0000 0.6105  6 Ce 2.50-2.51

Output
Fermi-level density of states: 1.8177 states/eV/atom
Final energy: -24.44 eV/f.u.

---

2.
DFT (PBE) results for an optimized crystal structure of Cr2Tc.

abc: 5.6721 5.6721 5.6721
angles: 90.00 90.00 90.00
Last column: nearest neighbours and their distance in Å.
Space group Pa-3 (No. 205)
One atom of each set of equivalent atoms:
Cr: 0.1193 0.1193 0.1193  1 Cr 2.34, 3 Tc 2.36
Tc: 0.0000 0.0000 0.5000  6 Cr 2.36

Output
Excess energy over the best structure of this formula in the dataset: 1139 meV per atom
Fermi-level density of states: 1.4041 states/eV/atom
Final energy: -26.12 eV/f.u.

---

Calculated spin magnetization, 0.832, 0.668 μB/f.u. (same order as the records).
Calculated calculated density, 8.76, 7.35 g/cm3 (same order as the records).